RbNbWO2: single point on PBEsol structure, meta-GGA SCAN.

a = 3.9018 Å, b = 3.9018 Å, c = 6.8529 Å
α = 90.00°, β = 90.00°, γ = 90.00°
Each line ends with the local moment (μB).
Fractional coordinates of all 5 atoms:
O (0.0000, 0.5000, 0.0000)  0.09
O (0.5000, 0.0000, 0.0000)  0.09
Nb (0.5000, 0.5000, 0.5000)  3.12
Rb (0.0000, 0.0000, 0.5000)  0.25
W (0.0000, 0.0000, 0.0000)  -0.63

Summary:
Energy relative to the elements, uncorrected, eV/atom: 0.548
SG: P4/mmm (123)
DOS(E_F), states/eV/atom: 0.652
Magnetic moment, μB per formula unit: 4.11